Record 1
The following is a PBE calculation of a relaxed structure of Y4Sc, from the Alexandria database.

Total DFT energy (no corrections)   -5.87 eV per atom
Magnetic moment   0.8 μB/f.u.
DFT formation energy   0.568 eV per atom
Relative energy among the computed polymorphs   526 meV/atom

a = 5.552 Å, b = 5.552 Å, c = 5.552 Å
α = 90.00°, β = 90.00°, γ = 90.00°
Atoms (fractional coordinates):
Sc  0.500  0.500  0.500
Y  0.000  0.000  0.000
Y  0.500  0.000  0.500
Y  0.000  0.500  0.500
Y  0.500  0.500  0.000

Record 2
The following is a PBE calculation of a relaxed structure of SrAg2Ir, from the Alexandria database.

Total DFT energy (no corrections)   -3.87 eV per atom
Magnetic moment   0.0 μB/f.u.
DFT formation energy   0.195 eV per atom
Relative energy among the computed polymorphs   129 meV/atom

a = 5.322 Å, b = 5.322 Å, c = 5.322 Å
α = 131.57°, β = 131.57°, γ = 70.91°
Atoms (fractional coordinates):
Ag  0.000  0.000  0.000
Ag  0.500  0.500  0.000
Ir  0.250  0.750  0.500
Sr  0.750  0.250  0.500

Record 3
The following is a PBE calculation of a relaxed structure of Na2UVS4, from the Alexandria database.

Formation energy without anion corrections   -950.8 meV per atom
Total DFT energy (no corrections)   -5.90 eV per atom
Magnetic moment   5.0 μB/f.u.

a = 6.260 Å, b = 6.260 Å, c = 6.260 Å
α = 101.31°, β = 113.70°, γ = 113.70°
Atoms (fractional coordinates):
Na  0.500  0.750  0.250
Na  0.000  0.000  0.000
U  0.500  0.250  0.750
V  0.000  0.500  0.500
S  0.545  0.366  0.379
S  0.013  0.179  0.634
S  0.987  0.621  0.165
S  0.455  0.835  0.821

Record 4
The following is a PBE calculation of a relaxed structure of GaFe2Ge2, from the Alexandria database.

Total DFT energy (no corrections)   -5.68 eV per atom
Magnetic moment   3.1 μB/f.u.
DFT formation energy   0.156 eV per atom
Relative energy among the computed polymorphs   116 meV/atom

a = 7.447 Å, b = 7.447 Å, c = 2.593 Å
α = 90.00°, β = 90.00°, γ = 90.00°
Atoms (fractional coordinates):
Ge  0.346  0.846  0.000
Ge  0.846  0.654  0.000
Ge  0.654  0.154  0.000
Ge  0.154  0.346  0.000
Fe  0.139  0.639  0.500
Fe  0.639  0.861  0.500
Fe  0.861  0.361  0.500
Fe  0.361  0.139  0.500
Ga  0.000  0.000  0.000
Ga  0.500  0.500  0.000

Record 5
The following is a PBE calculation of a relaxed structure of RbSiAs2, from the Alexandria database.

Formation energy without anion corrections   -100.4 meV per atom
Total DFT energy (no corrections)   -4.02 eV per atom
Magnetic moment   0.0 μB/f.u.

a = 7.586 Å, b = 7.586 Å, c = 6.699 Å
α = 55.52°, β = 55.52°, γ = 90.00°
Atoms (fractional coordinates):
As  0.518  0.125  0.250
As  0.232  0.625  0.250
As  0.375  0.482  0.750
As  0.875  0.768  0.750
Si  0.500  0.500  0.000
Si  0.250  0.750  0.500
Rb  0.000  0.000  0.000
Rb  0.750  0.250  0.500

Record 6
The following is a PBE calculation of a relaxed structure of V2Mo2Ru5W, from the Alexandria database.

Total DFT energy (no corrections)   -9.78 eV per atom
Magnetic moment   0.0 μB/f.u.
DFT formation energy   0.145 eV per atom

a = 3.920 Å, b = 8.710 Å, c = 8.710 Å
α = 90.00°, β = 90.00°, γ = 90.00°
Atoms (fractional coordinates):
V  0.000  0.123  0.623
V  0.000  0.877  0.377
V  0.000  0.623  0.877
V  0.000  0.377  0.123
Mo  0.000  0.679  0.179
Mo  0.000  0.321  0.821
Mo  0.000  0.179  0.321
Mo  0.000  0.821  0.679
Ru  0.500  0.201  0.066
Ru  0.500  0.799  0.934
Ru  0.500  0.066  0.799
Ru  0.500  0.701  0.434
Ru  0.500  0.934  0.201
Ru  0.500  0.299  0.566
Ru  0.500  0.566  0.701
Ru  0.500  0.434  0.299
Ru  0.500  0.500  0.000
Ru  0.500  0.000  0.500
W  0.000  0.000  0.000
W  0.000  0.500  0.500

Record 7
The following is a PBE calculation of a relaxed structure of ScNClF2, from the Alexandria database.

Formation energy without anion corrections   -1507.6 meV per atom
Total DFT energy (no corrections)   -5.56 eV per atom
Magnetic moment   1.1 μB/f.u.
Relative energy among the computed polymorphs   0 meV/atom

a = 3.966 Å, b = 3.966 Å, c = 4.789 Å
α = 90.00°, β = 90.00°, γ = 90.00°
Atoms (fractional coordinates):
Sc  0.000  0.000  0.000
N  0.000  0.000  0.500
F  0.000  0.500  0.000
F  0.500  0.000  0.000
Cl  0.500  0.500  0.500

Record 8
The following is a PBE calculation of a relaxed structure of Sc2OsRu, from the Alexandria database.

Total DFT energy (no corrections)   -8.10 eV per atom
Magnetic moment   0.0 μB/f.u.
DFT formation energy   0.190 eV per atom

a = 9.238 Å, b = 9.238 Å, c = 9.238 Å
α = 18.69°, β = 18.69°, γ = 18.69°
Atoms (fractional coordinates):
Sc  0.911  0.911  0.911
Sc  0.089  0.089  0.089
Ru  0.000  0.000  0.000
Os  0.500  0.500  0.500

Copy entry 5 word for word.
The following is a PBE calculation of a relaxed structure of RbSiAs2, from the Alexandria database.

Formation energy without anion corrections   -100.4 meV per atom
Total DFT energy (no corrections)   -4.02 eV per atom
Magnetic moment   0.0 μB/f.u.

a = 7.586 Å, b = 7.586 Å, c = 6.699 Å
α = 55.52°, β = 55.52°, γ = 90.00°
Atoms (fractional coordinates):
As  0.518  0.125  0.250
As  0.232  0.625  0.250
As  0.375  0.482  0.750
As  0.875  0.768  0.750
Si  0.500  0.500  0.000
Si  0.250  0.750  0.500
Rb  0.000  0.000  0.000
Rb  0.750  0.250  0.500

Repeat the third record exactly.
The following is a PBE calculation of a relaxed structure of Na2UVS4, from the Alexandria database.

Formation energy without anion corrections   -950.8 meV per atom
Total DFT energy (no corrections)   -5.90 eV per atom
Magnetic moment   5.0 μB/f.u.

a = 6.260 Å, b = 6.260 Å, c = 6.260 Å
α = 101.31°, β = 113.70°, γ = 113.70°
Atoms (fractional coordinates):
Na  0.500  0.750  0.250
Na  0.000  0.000  0.000
U  0.500  0.250  0.750
V  0.000  0.500  0.500
S  0.545  0.366  0.379
S  0.013  0.179  0.634
S  0.987  0.621  0.165
S  0.455  0.835  0.821

- Which value of total DFT energy (no corrections) does entry 1 give?
  -5.87 eV per atom

Repeat the fourth record exactly.
The following is a PBE calculation of a relaxed structure of GaFe2Ge2, from the Alexandria database.

Total DFT energy (no corrections)   -5.68 eV per atom
Magnetic moment   3.1 μB/f.u.
DFT formation energy   0.156 eV per atom
Relative energy among the computed polymorphs   116 meV/atom

a = 7.447 Å, b = 7.447 Å, c = 2.593 Å
α = 90.00°, β = 90.00°, γ = 90.00°
Atoms (fractional coordinates):
Ge  0.346  0.846  0.000
Ge  0.846  0.654  0.000
Ge  0.654  0.154  0.000
Ge  0.154  0.346  0.000
Fe  0.139  0.639  0.500
Fe  0.639  0.861  0.500
Fe  0.861  0.361  0.500
Fe  0.361  0.139  0.500
Ga  0.000  0.000  0.000
Ga  0.500  0.500  0.000